! AcTb5Pm2Sm (PBE, optimized geometry); values from VASP
&SYSTEM
  ibrav = 0, nat = 18, ntyp = 4
/
ATOMIC_SPECIES
Ac 227.00 Ac.upf
Tb 158.93 Tb.upf
Pm 145.00 Pm.upf
Sm 150.36 Sm.upf
CELL_PARAMETERS angstrom
-4.4390 4.4390 7.8432
4.4390 -4.4390 7.8432
4.4390 4.4390 -7.8432
ATOMIC_POSITIONS angstrom
Ac 0.0000 0.0000 3.9216
Ac 0.0000 0.0000 11.7648
Tb 0.0000 0.0000 0.0000
Tb 6.2611 1.8220 -2.0689
Tb 1.8220 2.6170 -2.0689
Tb 6.2611 1.8220 2.0689
Tb 1.8220 2.6170 2.0689
Tb 0.0000 0.0000 7.8432
Tb 2.6170 1.8220 5.7743
Tb -1.8220 2.6170 5.7743
Tb 2.6170 1.8220 9.9120
Tb -1.8220 2.6170 9.9120
Pm 3.4020 1.0370 0.0000
Pm 3.4020 -1.0370 7.8432
Pm 1.0370 5.4760 0.0000
Pm 1.0370 3.4020 7.8432
Sm 4.4390 0.0000 3.9216
Sm 0.0000 4.4390 3.9216
! * total energy: -4.360 eV per atom
! * DFT formation energy: 0.25 eV per atom
! * DOS(E_F): 9.90 states/eV/f.u.
! * space group: I4/mcm, No. 140
! * magnetic moment: 0.0 μB per cell

***

! AcTbPmSm (PBE, optimized geometry); values from VASP
&SYSTEM
  ibrav = 0, nat = 4, ntyp = 4
/
ATOMIC_SPECIES
Ac 227.00 Ac.upf
Tb 158.93 Tb.upf
Pm 145.00 Pm.upf
Sm 150.36 Sm.upf
CELL_PARAMETERS angstrom
3.5491 0.0000 0.0000
0.0000 5.8220 0.0000
0.0000 0.0000 7.0619
ATOMIC_POSITIONS angstrom
Ac 0.0000 0.0000 0.0000
Tb 0.0000 0.0000 3.6160
Pm 1.7745 2.9110 5.2364
Sm 0.0000 2.9110 1.9650
! * total energy: -4.344 eV per atom
! * DFT formation energy: 0.21 eV per atom
! * ΔE to the lowest computed polymorph: 74 meV per atom
! * DOS(E_F): 7.32 states/eV/f.u.
! * space group: Pmm2, No. 25
! * magnetic moment: 0.0 μB per cell